Compound: ZnSnPb2
Source: Alexandria
Functional: PBE-GGA
Structure: relaxed

Output
Energy above the lowest structure with this stoichiometry, eV/f.u.: 0.03

Structure (CIF):
```
data_ZnSnPb2
_cell_length_a 4.805
_cell_length_b 4.805
_cell_length_c 4.740
_cell_angle_alpha 90.00
_cell_angle_beta 90.00
_cell_angle_gamma 90.00
_symmetry_space_group_name_H-M 'P 4/m m m'
_symmetry_Int_Tables_number 123
_symmetry_space_group_name_Hall '-P 4 2'
loop_
_atom_site_label
_atom_site_type_symbol
_atom_site_fract_x
_atom_site_fract_y
_atom_site_fract_z
_atom_site_occupancy
Zn1 Zn 0.000 0.000 0.000 1
Sn1 Sn 0.500 0.500 0.000 1
Pb1 Pb 0.000 0.500 0.500 1
```

***

Compound: ZnSnPb2
Source: Alexandria
Functional: PBE-GGA
Structure: relaxed

Output
Energy above the lowest structure with this stoichiometry, eV/f.u.: 0.18

Structure (CIF):
```
data_ZnSnPb2
_cell_length_a 4.5336
_cell_length_b 4.5336
_cell_length_c 19.6409
_cell_angle_alpha 90.00
_cell_angle_beta 90.00
_cell_angle_gamma 120.00
_symmetry_space_group_name_H-M 'R 3 m'
_symmetry_Int_Tables_number 160
_symmetry_space_group_name_Hall 'R 3 -2"'
loop_
_atom_site_label
_atom_site_type_symbol
_atom_site_fract_x
_atom_site_fract_y
_atom_site_fract_z
_atom_site_occupancy
Zn1 Zn 0.0000 0.0000 0.0000 1
Sn1 Sn 0.0000 0.0000 0.8359 1
Pb1 Pb 0.0000 0.0000 0.4044 1
Pb2 Pb 0.0000 0.0000 0.5978 1
```

***

Compound: ZnSnPb2
Source: Alexandria
Functional: PBE-GGA
Structure: relaxed

Output
Energy above the lowest structure with this stoichiometry, eV/f.u.: 0.34

Structure (CIF):
```
data_ZnSnPb2
_cell_length_a 4.557
_cell_length_b 4.557
_cell_length_c 22.115
_cell_angle_alpha 90.00
_cell_angle_beta 90.00
_cell_angle_gamma 90.00
_symmetry_space_group_name_H-M 'I -4 2 d'
_symmetry_Int_Tables_number 122
_symmetry_space_group_name_Hall 'I -4 2bw'
loop_
_atom_site_label
_atom_site_type_symbol
_atom_site_fract_x
_atom_site_fract_y
_atom_site_fract_z
_atom_site_occupancy
Zn1 Zn 0.000 0.000 0.000 1
Sn1 Sn 0.000 0.000 0.500 1
Pb1 Pb 0.243 0.250 0.125 1
```

***

Compound: Zr3SnPb
Source: Alexandria
Functional: PBE-GGA
Structure: relaxed

Output
Energy above the lowest structure with this stoichiometry, eV/f.u.: 5.74

Structure (CIF):
```
data_Zr3SnPb
_cell_length_a 5.352
_cell_length_b 5.352
_cell_length_c 5.352
_cell_angle_alpha 90.00
_cell_angle_beta 90.00
_cell_angle_gamma 90.00
_symmetry_space_group_name_H-M 'P m -3 m'
_symmetry_Int_Tables_number 221
_symmetry_space_group_name_Hall '-P 4 2 3'
loop_
_atom_site_label
_atom_site_type_symbol
_atom_site_fract_x
_atom_site_fract_y
_atom_site_fract_z
_atom_site_occupancy
Zr1 Zr 0.000 0.000 0.500 1
Sn1 Sn 0.500 0.500 0.500 1
Pb1 Pb 0.000 0.000 0.000 1
```

***

Compound: Zr2SnPb2
Source: Alexandria
Functional: PBE-GGA
Structure: relaxed

Output
Energy above the lowest structure with this stoichiometry, eV/f.u.: 0.00

Structure (CIF):
```
data_Zr2SnPb2
_cell_length_a 7.667
_cell_length_b 7.667
_cell_length_c 4.352
_cell_angle_alpha 90.00
_cell_angle_beta 90.00
_cell_angle_gamma 90.00
_symmetry_space_group_name_H-M 'P 4/m b m'
_symmetry_Int_Tables_number 127
_symmetry_space_group_name_Hall '-P 4 2ab'
loop_
_atom_site_label
_atom_site_type_symbol
_atom_site_fract_x
_atom_site_fract_y
_atom_site_fract_z
_atom_site_occupancy
Zr1 Zr 0.146 0.354 0.000 1
Sn1 Sn 0.000 0.000 0.000 1
Pb1 Pb 0.161 0.661 0.500 1
```

***

Compound: Zr12SnPb3
Source: Alexandria
Functional: PBE-GGA
Structure: relaxed

Structure (CIF):
```
data_Zr12SnPb3
_cell_length_a 5.678
_cell_length_b 5.678
_cell_length_c 11.365
_cell_angle_alpha 90.00
_cell_angle_beta 90.00
_cell_angle_gamma 90.00
_symmetry_space_group_name_H-M 'P m m m'
_symmetry_Int_Tables_number 47
loop_
_symmetry_equiv_pos_as_xyz
'x,y,z'
'-x,-y,-z'
'-x,-y,z'
'x,y,-z'
'x,-y,-z'
'-x,y,z'
'-x,y,-z'
'x,-y,z'
loop_
_atom_site_label
_atom_site_type_symbol
_atom_site_fract_x
_atom_site_fract_y
_atom_site_fract_z
_atom_site_occupancy
Zr1 Zr 0.000 0.000 0.124 1
Zr2 Zr 0.000 0.000 0.375 1
Zr3 Zr 0.249 0.500 0.248 1
Zr4 Zr 0.500 0.250 0.500 1
Zr5 Zr 0.500 0.252 0.000 1
Sn1 Sn 0.000 0.500 0.000 1
Pb1 Pb 0.000 0.500 0.500 1
Pb2 Pb 0.500 0.000 0.250 1
```

***

Compound: ZrSnPb2
Source: Alexandria
Functional: PBE-GGA
Structure: relaxed

Output
Energy above the lowest structure with this stoichiometry, eV/f.u.: 0.13

Structure (CIF):
```
data_ZrSnPb2
_cell_length_a 3.3497
_cell_length_b 3.3497
_cell_length_c 35.4985
_cell_angle_alpha 90.00
_cell_angle_beta 90.00
_cell_angle_gamma 120.00
_symmetry_space_group_name_H-M 'R -3 m'
_symmetry_Int_Tables_number 166
_symmetry_space_group_name_Hall '-R 3 2"'
loop_
_atom_site_label
_atom_site_type_symbol
_atom_site_fract_x
_atom_site_fract_y
_atom_site_fract_z
_atom_site_occupancy
Zr1 Zr 0.0000 0.0000 0.0000 1
Sn1 Sn 0.0000 0.0000 0.5000 1
Pb1 Pb 0.0000 0.0000 0.0851 1
```

***

Compound: ZrSn3Pb
Source: Alexandria
Functional: PBE-GGA
Structure: relaxed

Output
Energy above the lowest structure with this stoichiometry, eV/f.u.: 0.00

Structure (CIF):
```
data_ZrSn3Pb
_cell_length_a 5.568
_cell_length_b 5.568
_cell_length_c 5.568
_cell_angle_alpha 90.00
_cell_angle_beta 90.00
_cell_angle_gamma 90.00
_symmetry_space_group_name_H-M 'P m -3 m'
_symmetry_Int_Tables_number 221
_symmetry_space_group_name_Hall '-P 4 2 3'
loop_
_atom_site_label
_atom_site_type_symbol
_atom_site_fract_x
_atom_site_fract_y
_atom_site_fract_z
_atom_site_occupancy
Zr1 Zr 0.000 0.000 0.000 1
Sn1 Sn 0.000 0.000 0.500 1
Pb1 Pb 0.500 0.500 0.500 1
```

***

Compound: Zr2SnPb
Source: Alexandria
Functional: PBE-GGA
Structure: relaxed

Output
Energy above the lowest structure with this stoichiometry, eV/f.u.: 0.57

Structure (CIF):
```
data_Zr2SnPb
_cell_length_a 3.8540
_cell_length_b 3.8540
_cell_length_c 23.8573
_cell_angle_alpha 90.00
_cell_angle_beta 90.00
_cell_angle_gamma 120.00
_symmetry_space_group_name_H-M 'R 3 m'
_symmetry_Int_Tables_number 160
_symmetry_space_group_name_Hall 'R 3 -2"'
loop_
_atom_site_label
_atom_site_type_symbol
_atom_site_fract_x
_atom_site_fract_y
_atom_site_fract_z
_atom_site_occupancy
Zr1 Zr 0.0000 0.0000 0.0000 1
Zr2 Zr 0.0000 0.0000 0.1800 1
Sn1 Sn 0.0000 0.0000 0.5891 1
Pb1 Pb 0.0000 0.0000 0.7578 1
```

***

Compound: ZrSnPb3
Source: Alexandria
Functional: PBE-GGA
Structure: relaxed

Output
Energy above the lowest structure with this stoichiometry, eV/f.u.: 0.00

Structure (CIF):
```
data_ZrSnPb3
_cell_length_a 5.671
_cell_length_b 5.671
_cell_length_c 5.671
_cell_angle_alpha 90.00
_cell_angle_beta 90.00
_cell_angle_gamma 90.00
_symmetry_space_group_name_H-M 'P m -3 m'
_symmetry_Int_Tables_number 221
_symmetry_space_group_name_Hall '-P 4 2 3'
loop_
_atom_site_label
_atom_site_type_symbol
_atom_site_fract_x
_atom_site_fract_y
_atom_site_fract_z
_atom_site_occupancy
Zr1 Zr 0.000 0.000 0.000 1
Sn1 Sn 0.500 0.500 0.500 1
Pb1 Pb 0.000 0.000 0.500 1
```

***

Compound: ZrSn2Pb
Source: Alexandria
Functional: PBE-GGA
Structure: relaxed

Output
Energy above the lowest structure with this stoichiometry, eV/f.u.: 0.34

Structure (CIF):
```
data_ZrSn2Pb
_cell_length_a 7.502
_cell_length_b 7.502
_cell_length_c 7.502
_cell_angle_alpha 90.00
_cell_angle_beta 90.00
_cell_angle_gamma 90.00
_symmetry_space_group_name_H-M 'F m -3 m'
_symmetry_Int_Tables_number 225
_symmetry_space_group_name_Hall '-F 4 2 3'
loop_
_atom_site_label
_atom_site_type_symbol
_atom_site_fract_x
_atom_site_fract_y
_atom_site_fract_z
_atom_site_occupancy
Zr1 Zr 0.000 0.000 0.000 1
Sn1 Sn 0.250 0.250 0.250 1
Pb1 Pb 0.000 0.000 0.500 1
```

***

Compound: ZrSnPb
Source: Alexandria
Functional: PBE-GGA
Structure: relaxed

Structure (CIF):
```
data_ZrSnPb
_cell_length_a 4.192
_cell_length_b 4.192
_cell_length_c 8.649
_cell_angle_alpha 90.00
_cell_angle_beta 90.00
_cell_angle_gamma 90.00
_symmetry_space_group_name_H-M 'P 4/n m m'
_symmetry_Int_Tables_number 129
loop_
_symmetry_equiv_pos_as_xyz
'x,y,z'
'-x,-y,-z'
'-y+1/2,x,z'
'y+1/2,-x,-z'
'-x+1/2,-y+1/2,z'
'x+1/2,y+1/2,-z'
'y,-x+1/2,z'
'-y,x+1/2,-z'
'x+1/2,-y,-z'
'-x+1/2,y,z'
'-y,-x,-z'
'y,x,z'
'-x,y+1/2,-z'
'x,-y+1/2,z'
'y+1/2,x+1/2,-z'
'-y+1/2,-x+1/2,z'
loop_
_atom_site_label
_atom_site_type_symbol
_atom_site_fract_x
_atom_site_fract_y
_atom_site_fract_z
_atom_site_occupancy
Zr1 Zr 0.250 0.250 0.231 1
Sn1 Sn 0.250 0.750 0.500 1
Pb1 Pb 0.250 0.250 0.857 1
```

***

no.,density of states at the Fermi level (states/eV per cell),density (g/cm³),formation energy from the elements (meV per atom)
1,1.24,9.1,123
2,7.97,8.5,159
3,8.40,8.7,201
4,4.87,6.5,897
5,9.50,9.3,-157
6,22.16,8.3,-218
7,15.02,9.0,302
8,4.18,6.3,299
9,8.34,8.3,-109
10,4.80,7.6,440
11,12.22,8.4,134
12,4.10,9.1,-110